This record from Alexandria via LeMat-Bulk describes crystalline YCoAs2 at its relaxed geometry. The functional is PBE-GGA.

Computed properties:
For the total magnetic moment, the calculation gives 0.0000 μB/atom. Its calculated volume is 72.8 Å³ per cell. The total energy is -6.4258 eV per atom. As for the space-group type: R-3m. The formation energy comes out at -0.71 eV/atom. The density of states at the Fermi level comes out at 0.835 states/eV per cell.

a b c (Å): 3.872 3.872 6.032
angles (deg): 71.30 71.30 60.03
Positions (direct):
As  0.977  0.977  0.069
As  0.523  0.523  0.431
Co  0.250  0.250  0.250
Y  0.750  0.750  0.750



This record from Alexandria via LeMat-Bulk describes crystalline YCoAs2 at its relaxed geometry. The functional is PBE-GGA.

Computed properties:
For the total magnetic moment, the calculation gives 0.2860 μB/atom. Its calculated volume is 74.1 Å³ per cell. The total energy is -5.8123 eV per atom. As for the space-group type: F-43m. The formation energy comes out at -0.10 eV/atom. The density of states at the Fermi level comes out at 2.637 states/eV per cell.

a b c (Å): 4.714 4.714 4.714
angles (deg): 60.00 60.00 60.00
Site moments in Bohr magnetons follow the coordinates.
Positions (direct):
Y  0.750  0.750  0.750  -0.07
Co  0.500  0.500  0.500  1.20
As  0.000  0.000  0.000  0.06
As  0.250  0.250  0.250  0.00



This record from Alexandria via LeMat-Bulk describes crystalline YCoAs2 at its relaxed geometry. The functional is PBE-GGA.

Computed properties:
For the total magnetic moment, the calculation gives 0.2889 μB/atom. Its calculated volume is 77.5 Å³ per cell. The total energy is -6.0391 eV per atom. As for the space-group type: P4mm. The formation energy comes out at -0.32 eV/atom. The density of states at the Fermi level comes out at 5.332 states/eV per cell.

a b c (Å): 3.664 3.662 5.778
angles (deg): 90.00 90.00 90.00
Site moments in Bohr magnetons follow the coordinates.
Positions (direct):
Y  0.500  0.500  0.795  -0.01
Co  0.000  0.000  0.410  1.21
As  0.500  0.500  0.307  -0.03
As  0.000  0.000  0.988  0.01



This record from Alexandria via LeMat-Bulk describes crystalline YCoAs2 at its relaxed geometry. The functional is PBE-GGA.

Computed properties:
For the total magnetic moment, the calculation gives 0.0001 μB/atom. Its calculated volume is 76.1 Å³ per cell. The total energy is -6.2826 eV per atom. As for the space-group type: Immm. The formation energy comes out at -0.57 eV/atom. The density of states at the Fermi level comes out at 1.814 states/eV per cell.

a b c (Å): 4.879 4.879 4.879
angles (deg): 133.47 108.02 90.15
Positions (direct):
Y  0.250  0.750  0.500
As  0.555  0.555  0.000
As  0.945  0.945  0.000
Co  0.750  0.250  0.500



This record from Alexandria via LeMat-Bulk describes crystalline Y2CoAs at its relaxed geometry. The functional is PBE-GGA.

Computed properties:
For the total magnetic moment, the calculation gives 0.0665 μB/atom. Its calculated volume is 85.0 Å³ per cell. The total energy is -6.9686 eV per atom. As for the space-group type: Amm2. The formation energy comes out at -0.80 eV/atom. The density of states at the Fermi level comes out at 3.039 states/eV per cell.

a b c (Å): 4.066 3.926 5.672
angles (deg): 69.76 90.00 90.00
Site moments in Bohr magnetons follow the coordinates.
Positions (direct):
Y  0.000  0.987  0.901  -0.06
Y  0.500  0.267  0.340  -0.04
As  0.000  0.696  0.482  0.01
Co  0.500  0.550  0.776  0.44



This record from Alexandria via LeMat-Bulk describes crystalline YCoAs2 at its relaxed geometry. The functional is PBE-GGA.

Computed properties:
For the total magnetic moment, the calculation gives 0.3065 μB/atom. Its calculated volume is 81.3 Å³ per cell. The total energy is -6.1789 eV per atom. As for the space-group type: Cm. The formation energy comes out at -0.46 eV/atom. The density of states at the Fermi level comes out at 2.294 states/eV per cell.

a b c (Å): 5.722 5.722 4.245
angles (deg): 74.07 74.07 37.70
Site moments in Bohr magnetons follow the coordinates.
Positions (direct):
Co  0.551  0.551  0.353  1.07
As  0.977  0.977  0.112  0.05
As  0.202  0.202  0.290  0.01
Y  0.770  0.770  0.744  0.01



This record from Alexandria via LeMat-Bulk describes crystalline Y2CoAs at its relaxed geometry. The functional is PBE-GGA.

Computed properties:
For the total magnetic moment, the calculation gives 0.0001 μB/atom. Its calculated volume is 83.9 Å³ per cell. The total energy is -6.6257 eV per atom. As for the space-group type: I-4m2. The formation energy comes out at -0.45 eV/atom. The density of states at the Fermi level comes out at 2.423 states/eV per cell.

a b c (Å): 5.920 5.920 5.920
angles (deg): 140.31 140.31 57.39
Positions (direct):
Y  0.000  0.000  0.000
Y  0.250  0.750  0.500
Co  0.750  0.250  0.500
As  0.500  0.500  0.000



This record from Alexandria via LeMat-Bulk describes crystalline Y2CoAs at its relaxed geometry. The functional is PBE-GGA.

Computed properties:
For the total magnetic moment, the calculation gives 0.0000 μB/atom. Its calculated volume is 95.7 Å³ per cell. The total energy is -6.8187 eV per atom. As for the space-group type: R3m. The formation energy comes out at -0.65 eV/atom. The density of states at the Fermi level comes out at 4.143 states/eV per cell.

a b c (Å): 7.231 7.231 7.231
angles (deg): 32.24 32.24 32.24
Positions (direct):
As  0.453  0.453  0.453
Y  0.214  0.214  0.214
Y  0.034  0.034  0.034
Co  0.799  0.799  0.799



This record from Alexandria via LeMat-Bulk describes crystalline Y2CoAs at its relaxed geometry. The functional is PBE-GGA.

Computed properties:
For the total magnetic moment, the calculation gives 0.0000 μB/atom. Its calculated volume is 183.2 Å³ per cell. The total energy is -6.4360 eV per atom. As for the space-group type: I-42d. The formation energy comes out at -0.27 eV/atom. The density of states at the Fermi level comes out at 9.315 states/eV per cell.

a b c (Å): 7.341 7.341 6.205
angles (deg): 53.73 53.73 90.00
Positions (direct):
Y  0.150  0.625  0.250
Y  0.600  0.125  0.250
Y  0.375  0.400  0.750
Y  0.875  0.850  0.750
Co  0.250  0.750  0.500
Co  0.500  0.500  0.000
As  0.000  0.000  0.000
As  0.750  0.250  0.500



This record from Alexandria via LeMat-Bulk describes crystalline YCoAs2 at its relaxed geometry. The functional is PBE-GGA.

Computed properties:
For the total magnetic moment, the calculation gives 0.0000 μB/atom. Its calculated volume is 75.9 Å³ per cell. The total energy is -6.3444 eV per atom. As for the space-group type: P2/m. The formation energy comes out at -0.63 eV/atom. The density of states at the Fermi level comes out at 0.798 states/eV per cell.

a b c (Å): 3.856 4.294 4.677
angles (deg): 78.37 90.00 90.00
Positions (direct):
Y  0.500  0.750  0.750
As  0.000  0.093  0.029
As  0.000  0.407  0.471
Co  0.500  0.250  0.250



This record from Alexandria via LeMat-Bulk describes crystalline Y4CoAs at its relaxed geometry. The functional is PBE-GGA.

Computed properties:
For the total magnetic moment, the calculation gives 0.3404 μB/atom. Its calculated volume is 161.5 Å³ per cell. The total energy is -5.5936 eV per atom. As for the space-group type: F-43m. The formation energy comes out at 0.68 eV/atom. The density of states at the Fermi level comes out at 9.229 states/eV per cell.

a b c (Å): 6.113 6.113 6.113
angles (deg): 60.00 60.00 60.00
Site moments in Bohr magnetons follow the coordinates.
Positions (direct):
Y  0.375  0.876  0.375  0.07
Y  0.375  0.375  0.876  0.07
Y  0.876  0.375  0.375  0.07
Y  0.375  0.375  0.375  0.07
As  0.750  0.750  0.750  0.00
Co  0.000  0.000  0.000  1.84



This record from Alexandria via LeMat-Bulk describes crystalline YCo2As2 at its relaxed geometry. The functional is PBE-GGA.

Computed properties:
For the total magnetic moment, the calculation gives 0.0000 μB/atom. Its calculated volume is 168.6 Å³ per cell. The total energy is -6.4756 eV per atom. As for the space-group type: Fddd. The formation energy comes out at -0.48 eV/atom. The density of states at the Fermi level comes out at 5.956 states/eV per cell.

a b c (Å): 5.187 5.457 7.248
angles (deg): 80.20 69.03 61.65
Positions (direct):
Y  0.125  0.250  0.750
Y  0.875  0.750  0.250
As  0.257  0.750  0.486
As  0.507  0.250  0.987
As  0.743  0.250  0.514
As  0.493  0.750  0.013
Co  0.191  0.118  0.250
Co  0.441  0.619  0.750
Co  0.559  0.381  0.250
Co  0.809  0.882  0.750



This record from Alexandria via LeMat-Bulk describes crystalline YCoAs2 at its relaxed geometry. The functional is PBE-GGA.

Computed properties:
For the total magnetic moment, the calculation gives 0.2912 μB/atom. Its calculated volume is 70.8 Å³ per cell. The total energy is -5.9563 eV per atom. As for the space-group type: Pmmm. The formation energy comes out at -0.24 eV/atom. The density of states at the Fermi level comes out at 3.518 states/eV per cell.

a b c (Å): 3.147 3.316 6.789
angles (deg): 90.00 90.00 90.00
Site moments in Bohr magnetons follow the coordinates.
Positions (direct):
Y  0.500  0.500  0.750  0.11
As  0.000  0.000  0.049  0.00
As  0.000  0.000  0.451  0.00
Co  0.500  0.500  0.250  1.02



This record from Alexandria via LeMat-Bulk describes crystalline Y2CoAs at its relaxed geometry. The functional is PBE-GGA.

Computed properties:
For the total magnetic moment, the calculation gives 0.0050 μB/atom. Its calculated volume is 79.6 Å³ per cell. The total energy is -6.1201 eV per atom. As for the space-group type: F-43m. The formation energy comes out at 0.05 eV/atom. The density of states at the Fermi level comes out at 4.724 states/eV per cell.

a b c (Å): 4.829 4.829 4.829
angles (deg): 60.00 60.00 60.00
Positions (direct):
Y  0.250  0.250  0.250
Y  0.000  0.000  0.000
As  0.500  0.500  0.500
Co  0.750  0.750  0.750